No. 1
KRb2AgCl6, optimized geometry, DFT PBE; E = -2.948 eV per atom; mass density = 2.633 g cm⁻³
1.0
-2.055 7.760 -4.642
-8.561 1.518 3.224
3.811 3.596 6.005
Rb Cl K Ag
4 12 2 2
Direct
0.907 0.660 0.753
0.660 0.907 0.253
0.093 0.340 0.247
0.340 0.093 0.747
0.026 0.309 0.824
0.603 0.681 0.508
0.309 0.026 0.324
0.691 0.974 0.676
0.397 0.319 0.492
0.811 0.147 0.039
0.974 0.691 0.176
0.853 0.189 0.461
0.319 0.397 0.992
0.189 0.853 0.961
0.681 0.603 0.008
0.147 0.811 0.539
0.410 0.590 0.750
0.590 0.410 0.250
0.161 0.839 0.250
0.839 0.161 0.750



No. 2
K2TcAgCl6, optimized geometry, DFT PBE; E = -3.733 eV per atom; mass density = 3.170 g cm⁻³; magnetic moment = 2.03 μB/cell
1.0
0.626 2.072 6.832
-5.739 2.404 3.555
-2.896 -3.959 5.225
Tc Cl K Ag
1 6 2 1
Direct
0.500 0.500 0.500
0.737 0.263 0.263
0.263 0.737 0.737
0.263 0.737 0.263
0.263 0.263 0.737
0.737 0.263 0.737
0.737 0.737 0.263
0.750 0.750 0.750
0.250 0.250 0.250
0.000 0.000 0.000



No. 3
K2TlAgCl6, optimized geometry, DFT PBE; relative energy among the computed polymorphs = 8 meV per atom; mass density = 3.549 g cm⁻³
1.0
6.311 -3.672 0.000
6.311 3.672 0.000
-4.298 0.000 6.089
Ag Tl Cl K
1 1 6 2
Direct
0.000 0.000 0.500
0.500 0.500 0.000
0.198 0.698 0.193
0.698 0.198 0.193
0.302 0.802 0.807
0.747 0.747 0.341
0.802 0.302 0.807
0.253 0.253 0.659
0.249 0.249 0.236
0.751 0.751 0.764



No. 4
K2TlAgCl6, optimized geometry, DFT PBE; relative energy among the computed polymorphs = 0 meV per atom; mass density = 3.608 g cm⁻³
1.0
7.093 0.000 0.000
-0.001 7.590 0.000
-0.109 -0.001 10.312
Cl K Tl Ag
12 4 2 2
Direct
0.095 0.983 0.749
0.188 0.699 0.455
0.194 0.689 0.047
0.905 0.017 0.251
0.694 0.811 0.547
0.806 0.311 0.953
0.405 0.483 0.751
0.595 0.517 0.249
0.812 0.301 0.545
0.306 0.189 0.453
0.688 0.801 0.955
0.312 0.199 0.045
0.971 0.582 0.750
0.029 0.418 0.250
0.529 0.082 0.750
0.471 0.918 0.250
0.500 0.500 0.000
0.000 0.000 0.500
0.000 0.000 0.000
0.500 0.500 0.500



No. 5
K2YAgCl6, optimized geometry, DFT PBE; E = -4.032 eV per atom; mass density = 2.698 g cm⁻³; magnetic moment = 0.00 μB/cell
1.0
0.000 5.314 5.314
5.314 0.000 5.314
5.314 5.314 0.000
K Cl Y Ag
2 6 1 1
Direct
0.750 0.750 0.750
0.250 0.250 0.250
0.253 0.747 0.747
0.747 0.253 0.747
0.747 0.747 0.253
0.253 0.253 0.747
0.253 0.747 0.253
0.747 0.253 0.253
0.500 0.500 0.500
0.000 0.000 0.000



No. 6
MgTl2AgCl6, optimized geometry, DFT PBE; E = -3.027 eV per atom; mass density = 4.767 g cm⁻³
1.0
0.000 5.082 5.082
5.082 0.000 5.082
5.082 5.082 0.000
Cl Mg Tl Ag
6 1 2 1
Direct
0.745 0.255 0.255
0.255 0.745 0.255
0.745 0.745 0.255
0.745 0.255 0.745
0.255 0.255 0.745
0.255 0.745 0.745
0.500 0.500 0.500
0.750 0.750 0.750
0.250 0.250 0.250
0.000 0.000 0.000



No. 7
Rb2AgMoCl6, optimized geometry, DFT PBE; E = -3.901 eV per atom; mass density = 3.567 g cm⁻³; magnetic moment = 3.00 μB/cell
1.0
1.238 -7.169 -0.717
6.171 -2.967 2.562
-0.149 -4.387 5.846
Ag Cl Rb Mo
1 6 2 1
Direct
0.000 0.000 0.000
0.761 0.261 0.715
0.715 0.761 0.261
0.285 0.239 0.739
0.239 0.739 0.285
0.739 0.285 0.239
0.261 0.715 0.761
0.249 0.249 0.249
0.751 0.751 0.751
0.500 0.500 0.500



No. 8
Tl2AgMoCl6, optimized geometry, DFT PBE; E = -3.770 eV per atom; mass density = 5.069 g cm⁻³; magnetic moment = 3.00 μB/cell
1.0
1.591 4.483 5.482
-3.077 6.565 0.330
-4.978 1.423 5.086
Cl Mo Tl Ag
6 1 2 1
Direct
0.761 0.239 0.761
0.761 0.239 0.239
0.239 0.239 0.761
0.761 0.761 0.239
0.239 0.761 0.761
0.239 0.761 0.239
0.000 0.000 0.000
0.750 0.750 0.750
0.250 0.250 0.250
0.500 0.500 0.500